(P)
Density functional theory data (GGA-PBE) for a relaxed Zn2CrRu crystal.

Cell lengths 4.519, 4.519, 4.614 Å; angles 79.67, 79.67, 36.33 degrees
Each line ends with the local moment (μB).
Element x y z (fractional)
Zn 0.998 0.998 0.979  -0.02
Cr 0.504 0.504 0.468  1.67
Zn 0.752 0.752 0.770  -0.01
Ru 0.246 0.246 0.284  -0.30

Summary:
- density (g/cm3) = 8.60
- M_tot (μB per formula unit) = 1.41
- DOS at the Fermi energy (states/eV/f.u.) = 2.9

***

(Q)
Density functional theory data (GGA-PBE) for a relaxed Zn2CrRu crystal.

Cell lengths 3.173, 3.173, 5.633 Å; angles 90.00, 90.00, 90.00 degrees
Each line ends with the local moment (μB).
Element x y z (fractional)
Zn 0.000 0.000 0.992  -0.01
Ru 0.500 0.500 0.750  0.17
Cr 0.500 0.500 0.250  3.21
Zn 0.000 0.000 0.508  -0.01

Summary:
- density (g/cm3) = 8.31
- M_tot (μB per formula unit) = 3.62
- DOS at the Fermi energy (states/eV/f.u.) = 3.9

***

According to the calculations, the structures order from most to least stable as (P), (Q).

***

(P)
Density functional theory data (GGA-PBE) for a relaxed Zn2CrRu crystal.

Cell lengths 4.314, 4.314, 4.314 Å; angles 60.00, 60.00, 60.00 degrees
Each line ends with the local moment (μB).
Element x y z (fractional)
Cr 0.000 0.000 0.000  3.36
Zn 0.750 0.750 0.750  0.03
Zn 0.250 0.250 0.250  0.03
Ru 0.500 0.500 0.500  0.33

Summary:
- density (g/cm3) = 8.30
- M_tot (μB per formula unit) = 4.09
- DOS at the Fermi energy (states/eV/f.u.) = 2.7

***

(Q)
Density functional theory data (GGA-PBE) for a relaxed Zn2CrRu crystal.

Cell lengths 4.222, 4.222, 4.222 Å; angles 60.00, 60.00, 60.00 degrees
Element x y z (fractional)
Cr 0.500 0.500 0.500
Ru 0.750 0.750 0.750
Zn 0.000 0.000 0.000
Zn 0.250 0.250 0.250

Summary:
- density (g/cm3) = 8.86
- M_tot (μB per formula unit) = 0.00
- DOS at the Fermi energy (states/eV/f.u.) = 1.3

***

According to the calculations, the structures order from most to least stable as (Q), (P).

***

(P)
Density functional theory data (GGA-PBE) for a relaxed Zn2CrRu crystal.

Cell lengths 3.916, 3.787, 3.787 Å; angles 90.00, 90.00, 90.00 degrees
Each line ends with the local moment (μB).
Element x y z (fractional)
Zn 0.000 0.000 0.000  0.01
Ru 0.500 0.000 0.500  0.14
Zn 0.000 0.500 0.500  0.01
Cr 0.500 0.500 0.000  3.02

Summary:
- density (g/cm3) = 8.40
- M_tot (μB per formula unit) = 3.43
- DOS at the Fermi energy (states/eV/f.u.) = 5.0

***

(Q)
Density functional theory data (GGA-PBE) for a relaxed Zn2CrRu crystal.

Cell lengths 4.176, 2.767, 4.690 Å; angles 89.94, 90.00, 90.00 degrees
Element x y z (fractional)
Zn 0.500 0.125 0.270
Cr 0.000 0.625 0.495
Zn 0.000 0.125 0.982
Ru 0.500 0.625 0.753

Summary:
- density (g/cm3) = 8.70
- M_tot (μB per formula unit) = 0.00
- DOS at the Fermi energy (states/eV/f.u.) = 3.3

***

(R)
Density functional theory data (GGA-PBE) for a relaxed Zn2CrRu crystal.

Cell lengths 2.596, 2.596, 8.017 Å; angles 90.00, 90.00, 90.00 degrees
Each line ends with the local moment (μB).
Element x y z (fractional)
Cr 0.500 0.500 0.250  0.05
Zn 0.000 0.000 0.496  0.00
Zn 0.000 0.000 0.004  0.00
Ru 0.500 0.500 0.750  0.38

Summary:
- density (g/cm3) = 8.72
- M_tot (μB per formula unit) = 0.45
- DOS at the Fermi energy (states/eV/f.u.) = 4.9

***

According to the calculations, the structures order from most to least stable as (Q), (P), (R).

***

(P)
Density functional theory data (GGA-PBE) for a relaxed ZnCrRu3 crystal.

Cell lengths 4.400, 4.400, 4.400 Å; angles 90.00, 90.00, 90.00 degrees
Element x y z (fractional)
Cr 0.500 0.500 0.500
Ru 0.500 0.000 0.000
Ru 0.000 0.500 0.000
Ru 0.000 0.000 0.500
Zn 0.000 0.000 0.000

Summary:
- density (g/cm3) = 8.20
- M_tot (μB per formula unit) = 0.00
- DOS at the Fermi energy (states/eV/f.u.) = 8.9

***

(Q)
Density functional theory data (GGA-PBE) for a relaxed ZnCrRu3 crystal.

Cell lengths 4.408, 4.408, 4.408 Å; angles 90.00, 90.00, 90.00 degrees
Element x y z (fractional)
Zn 0.500 0.500 0.500
Ru 0.000 0.000 0.500
Ru 0.500 0.000 0.000
Ru 0.000 0.500 0.000
Cr 0.000 0.000 0.000

Summary:
- density (g/cm3) = 8.15
- M_tot (μB per formula unit) = 0.00
- DOS at the Fermi energy (states/eV/f.u.) = 5.0

***

According to the calculations, the structures order from most to least stable as (Q), (P).

***

(P)
Density functional theory data (GGA-PBE) for a relaxed ZnCrRu crystal.

Cell lengths 3.556, 3.887, 6.083 Å; angles 90.03, 106.99, 90.00 degrees
Element x y z (fractional)
Cr 0.756 0.250 0.512
Zn 0.080 0.250 0.159
Cr 0.244 0.750 0.488
Ru 0.603 0.750 0.206
Zn 0.920 0.750 0.841
Ru 0.397 0.250 0.794

Summary:
- density (g/cm3) = 9.02
- M_tot (μB per formula unit) = 0.00
- DOS at the Fermi energy (states/eV/f.u.) = 3.1

***

(Q)
Density functional theory data (GGA-PBE) for a relaxed ZnCrRu crystal.

Cell lengths 5.005, 5.005, 5.005 Å; angles 145.62, 145.62, 49.41 degrees
Element x y z (fractional)
Cr 0.990 0.990 0.000
Ru 0.347 0.347 0.000
Zn 0.663 0.663 0.000

Summary:
- density (g/cm3) = 9.12
- M_tot (μB per formula unit) = 0.00
- DOS at the Fermi energy (states/eV/f.u.) = 1.6

***

(R)
Density functional theory data (GGA-PBE) for a relaxed ZnCrRu crystal.

Cell lengths 6.877, 6.675, 2.606 Å; angles 83.31, 74.59, 22.10 degrees
Element x y z (fractional)
Ru 0.341 0.341 0.659
Zn 0.664 0.664 0.336
Cr 0.995 0.995 0.005

Summary:
- density (g/cm3) = 8.95
- M_tot (μB per formula unit) = 0.00
- DOS at the Fermi energy (states/eV/f.u.) = 3.6

***

(S)
Density functional theory data (GGA-PBE) for a relaxed ZnCrRu crystal.

Cell lengths 2.736, 3.839, 8.680 Å; angles 63.85, 80.91, 89.98 degrees
Element x y z (fractional)
Cr 0.543 0.833 0.918
Zn 0.709 0.169 0.581
Ru 0.893 0.537 0.212
Ru 0.107 0.463 0.788
Cr 0.457 0.167 0.082
Zn 0.291 0.831 0.419

Summary:
- density (g/cm3) = 9.01
- M_tot (μB per formula unit) = 0.00
- DOS at the Fermi energy (states/eV/f.u.) = 2.8

***

According to the calculations, the structures order from most to least stable as (Q), (S), (P), (R).

***

(P)
Density functional theory data (GGA-PBE) for a relaxed ZnCrRu crystal.

Cell lengths 2.686, 2.686, 6.448 Å; angles 90.00, 90.00, 120.00 degrees
Element x y z (fractional)
Cr 0.000 0.000 0.013
Ru 0.667 0.333 0.316
Zn 0.333 0.667 0.672

Summary:
- density (g/cm3) = 9.01
- M_tot (μB per formula unit) = 0.00
- DOS at the Fermi energy (states/eV/f.u.) = 2.6

***

(Q)
Density functional theory data (GGA-PBE) for a relaxed ZnCrRu crystal.

Cell lengths 4.105, 4.105, 4.105 Å; angles 60.00, 60.00, 60.00 degrees
Each line ends with the local moment (μB).
Element x y z (fractional)
Ru 0.750 0.750 0.750  -0.48
Cr 0.500 0.500 0.500  2.23
Zn 0.000 0.000 0.000  0.00

Summary:
- density (g/cm3) = 7.42
- M_tot (μB per formula unit) = 1.95
- DOS at the Fermi energy (states/eV/f.u.) = 1.3

***

According to the calculations, the structures order from most to least stable as (P), (Q).

***

(P)
Density functional theory data (GGA-PBE) for a relaxed ZrCr2Ru crystal.

Cell lengths 8.944, 8.944, 8.944 Å; angles 18.12, 18.12, 18.12 degrees
Element x y z (fractional)
Cr 0.991 0.991 0.991
Ru 0.250 0.250 0.250
Cr 0.509 0.509 0.509
Zr 0.750 0.750 0.750

Summary:
- density (g/cm3) = 8.14
- M_tot (μB per formula unit) = 0.01
- DOS at the Fermi energy (states/eV/f.u.) = 4.8

***

(Q)
Density functional theory data (GGA-PBE) for a relaxed ZrCr2Ru crystal.

Cell lengths 4.262, 2.772, 5.164 Å; angles 78.23, 90.00, 90.00 degrees
Element x y z (fractional)
Zr 0.500 0.750 0.750
Ru 0.500 0.250 0.250
Cr 0.000 0.965 0.041
Cr 0.000 0.535 0.459

Summary:
- density (g/cm3) = 8.24
- M_tot (μB per formula unit) = 0.00
- DOS at the Fermi energy (states/eV/f.u.) = 3.8

***

(R)
Density functional theory data (GGA-PBE) for a relaxed ZrCr2Ru crystal.

Cell lengths 8.417, 8.417, 8.417 Å; angles 19.84, 19.84, 19.84 degrees
Element x y z (fractional)
Zr 0.748 0.748 0.748
Ru 0.510 0.510 0.510
Cr 0.987 0.987 0.987
Cr 0.255 0.255 0.255

Summary:
- density (g/cm3) = 8.19
- M_tot (μB per formula unit) = 0.00
- DOS at the Fermi energy (states/eV/f.u.) = 3.9

***

(S)
Density functional theory data (GGA-PBE) for a relaxed ZrCr2Ru crystal.

Cell lengths 5.086, 5.086, 4.522 Å; angles 63.69, 63.69, 35.11 degrees
Each line ends with the local moment (μB).
Element x y z (fractional)
Ru 0.514 0.514 0.486  0.07
Cr 0.258 0.258 0.242  -0.90
Zr 0.749 0.749 0.751  0.01
Cr 0.979 0.979 0.021  1.39

Summary:
- density (g/cm3) = 8.26
- M_tot (μB per formula unit) = 0.62
- DOS at the Fermi energy (states/eV/f.u.) = 4.3

***

According to the calculations, the structures order from most to least stable as (S), (Q), (R), (P).

***

(P)
Density functional theory data (GGA-PBE) for a relaxed ZrCr2Ru crystal.

Cell lengths 5.033, 5.033, 2.793 Å; angles 79.76, 79.76, 117.54 degrees
Element x y z (fractional)
Cr 0.500 0.500 0.000
Ru 0.500 0.000 0.500
Zr 0.000 0.500 0.500
Cr 0.000 0.000 0.000

Summary:
- density (g/cm3) = 8.35
- M_tot (μB per formula unit) = 0.00
- DOS at the Fermi energy (states/eV/f.u.) = 4.0

***

(Q)
Density functional theory data (GGA-PBE) for a relaxed ZrCr2Ru crystal.

Cell lengths 3.171, 4.277, 4.572 Å; angles 90.00, 90.00, 90.00 degrees
Each line ends with the local moment (μB).
Element x y z (fractional)
Cr 0.000 0.000 0.000  2.50
Ru 0.500 0.000 0.500  -0.06
Zr 0.000 0.500 0.500  0.06
Cr 0.500 0.500 0.000  -2.15

Summary:
- density (g/cm3) = 7.93
- M_tot (μB per formula unit) = 0.39
- DOS at the Fermi energy (states/eV/f.u.) = 2.4

***

According to the calculations, the structures order from most to least stable as (Q), (P).

***

(P)
Density functional theory data (GGA-PBE) for a relaxed ZrCr2Ru crystal.

Cell lengths 3.933, 2.860, 5.465 Å; angles 77.22, 90.00, 90.00 degrees
Element x y z (fractional)
Cr 0.500 0.223 0.234
Ru 0.000 0.476 0.466
Cr 0.000 0.044 0.048
Zr 0.500 0.756 0.752

Summary:
- density (g/cm3) = 8.20
- M_tot (μB per formula unit) = 0.00
- DOS at the Fermi energy (states/eV/f.u.) = 4.8

***

(Q)
Density functional theory data (GGA-PBE) for a relaxed ZrCr2Ru crystal.

Cell lengths 2.766, 2.766, 8.353 Å; angles 90.00, 90.00, 112.67 degrees
Element x y z (fractional)
Ru 0.000 0.000 0.475
Cr 0.500 0.500 0.236
Zr 0.500 0.500 0.757
Cr 0.000 0.000 0.032

Summary:
- density (g/cm3) = 8.34
- M_tot (μB per formula unit) = 0.00
- DOS at the Fermi energy (states/eV/f.u.) = 4.5

***

According to the calculations, the structures order from most to least stable as (P), (Q).

***

(P)
Density functional theory data (GGA-PBE) for a relaxed Cr5S8 crystal.

Cell lengths 6.542, 6.542, 8.047 Å; angles 55.12, 55.12, 63.44 degrees
Each line ends with the local moment (μB).
Element x y z (fractional)
S 0.977 0.452 0.330  -0.11
S 0.023 0.548 0.670  -0.11
S 0.455 0.455 0.833  -0.13
S 0.016 0.016 0.181  -0.10
Cr 0.274 0.274 0.491  2.78
Cr 0.000 0.000 0.500  2.96
Cr 0.273 0.727 0.000  2.72
S 0.548 0.023 0.670  -0.11
S 0.545 0.545 0.167  -0.13
S 0.984 0.984 0.819  -0.10
Cr 0.726 0.726 0.509  2.78
Cr 0.727 0.273 0.000  2.72
S 0.452 0.977 0.330  -0.11

Summary:
- density (g/cm3) = 3.76
- M_tot (μB per formula unit) = 14.00
- DOS at the Fermi energy (states/eV/f.u.) = 5.4

***

(Q)
Density functional theory data (GGA-PBE) for a relaxed Cr5S8 crystal.

Cell lengths 8.856, 8.850, 10.353 Å; angles 112.99, 112.84, 84.74 degrees
Each line ends with the local moment (μB).
Element x y z (fractional)
Cr 0.486 0.976 0.823  2.79
S 0.552 0.705 0.752  -0.13
Cr 0.255 0.249 0.002  2.78
S 0.207 0.536 0.420  -0.14
S 0.305 0.965 0.251  -0.10
Cr 0.274 0.262 0.676  2.75
Cr 0.726 0.738 0.324  2.75
Cr 0.514 0.024 0.177  2.79
Cr 0.018 0.519 0.185  2.75
S 0.292 0.966 0.584  -0.12
S 0.953 0.774 0.910  -0.09
S 0.801 0.460 0.250  -0.12
S 0.448 0.295 0.248  -0.13
Cr 0.982 0.481 0.815  2.75
S 0.695 0.035 0.749  -0.10
Cr 0.000 0.000 0.500  2.90
S 0.542 0.714 0.424  -0.14
S 0.047 0.226 0.090  -0.09
S 0.799 0.465 0.928  -0.11
S 0.793 0.464 0.580  -0.14
S 0.056 0.207 0.749  -0.09
Cr 0.500 0.000 0.500  2.77
S 0.458 0.286 0.576  -0.14
S 0.461 0.278 0.916  -0.10
Cr 0.754 0.251 0.999  2.90
S 0.944 0.785 0.569  -0.10
Cr 0.744 0.743 0.661  2.72
Cr 0.000 0.500 0.500  2.78
S 0.297 0.962 0.929  -0.11
S 0.944 0.793 0.251  -0.09
S 0.703 0.038 0.071  -0.11
S 0.201 0.535 0.072  -0.11
S 0.056 0.215 0.431  -0.10
S 0.708 0.034 0.416  -0.12
Cr 0.246 0.749 0.001  2.90
Cr 0.256 0.257 0.339  2.72
Cr 0.745 0.751 0.998  2.78
S 0.199 0.540 0.750  -0.12
S 0.539 0.722 0.084  -0.10

Summary:
- density (g/cm3) = 3.75
- M_tot (μB per formula unit) = 14.00
- DOS at the Fermi energy (states/eV/f.u.) = 6.9

***

According to the calculations, the structures order from most to least stable as (P), (Q).

***

(P)
Density functional theory data (GGA-PBE) for a relaxed CrS4 crystal.

Cell lengths 4.436, 4.436, 4.436 Å; angles 90.00, 90.00, 90.00 degrees
Element x y z (fractional)
S 0.500 0.500 0.000
S 0.000 0.500 0.500
S 0.000 0.000 0.000
S 0.500 0.000 0.500
Cr 0.500 0.500 0.500

Summary:
- density (g/cm3) = 3.43
- M_tot (μB per formula unit) = 0.00
- DOS at the Fermi energy (states/eV/f.u.) = 5.9

***

(Q)
Density functional theory data (GGA-PBE) for a relaxed CrS4 crystal.

Cell lengths 3.187, 3.510, 10.531 Å; angles 64.36, 81.31, 63.04 degrees
Each line ends with the local moment (μB).
Element x y z (fractional)
S 0.234 0.107 0.425  0.00
S 0.766 0.893 0.575  0.00
S 0.706 0.448 0.139  -0.13
S 0.294 0.552 0.861  -0.13
Cr 0.000 0.000 0.000  2.48

Summary:
- density (g/cm3) = 3.17
- M_tot (μB per formula unit) = 2.34
- DOS at the Fermi energy (states/eV/f.u.) = 3.8

***

According to the calculations, the structures order from most to least stable as (Q), (P).